VASP calculation (PBE-GGA) on a relaxed structure of Pm3ErTl2.

extended XYZ file:
```
12
Lattice="5.201 0.000 0.000 0.000 10.244 0.000 0.000 0.000 6.828" Properties=species:S:1:pos:R:3 pbc="T T T"
Pm 0.000 0.390 0.000
Pm 0.000 3.294 2.487
Pm 0.000 6.949 5.901
Pm 0.000 9.854 3.414
Pm 2.600 1.937 4.995
Pm 2.600 8.307 1.581
Er 2.600 4.723 0.618
Er 2.600 5.520 4.032
Tl 0.000 3.733 5.760
Tl 0.000 6.511 2.346
Tl 2.600 1.416 1.736
Tl 2.600 8.828 5.150
```

Properties
relative energy among the computed polymorphs: 0 meV/atom
total magnetic moment: 0.000 μB per formula unit
crystal system: orthorhombic
DFT total energy: -4.193 eV/atom
ΔE_f: -0.269 eV/atom